Record 1
This record from Alexandria describes Rb3CaAc2S6 after structural relaxation. The functional is PBE.

Lattice parameters (Å, degrees): 10.225 10.225 9.167 107.18 107.18 25.05
Element x y z (fractional)
Rb: 0.000 0.000 0.000
Rb: 0.335 0.335 0.667
Rb: 0.665 0.665 0.333
Ca: 0.000 0.000 0.500
Ac: 0.336 0.336 0.176
Ac: 0.664 0.664 0.824
S: 0.154 0.154 0.602
S: 0.177 0.177 0.056
S: 0.491 0.491 0.287
S: 0.509 0.509 0.713
S: 0.823 0.823 0.944
S: 0.846 0.846 0.398

## Properties
total energy: -4.815 eV per atom
E_form (uncorrected): -1.6580 eV/atom

=====

Record 2
This record from Alexandria describes Rb3CaAc2Se6 after structural relaxation. The functional is PBE.

Lattice parameters (Å, degrees): 10.624 10.624 9.534 107.44 107.44 24.93
Element x y z (fractional)
Rb: 0.000 0.000 0.000
Rb: 0.335 0.335 0.668
Rb: 0.665 0.665 0.332
Ca: 0.000 0.000 0.500
Ac: 0.336 0.336 0.175
Ac: 0.664 0.664 0.825
Se: 0.154 0.154 0.600
Se: 0.176 0.176 0.058
Se: 0.492 0.492 0.285
Se: 0.508 0.508 0.715
Se: 0.824 0.824 0.942
Se: 0.846 0.846 0.400

## Properties
total energy: -4.449 eV per atom
E_form (uncorrected): -1.6129 eV/atom